1.
First-principles (GGA-PBE) data for a geometry-optimized CuTcPt2 structure, as listed in Alexandria.

Results
**E_form**: -0.2 eV/f.u.
**DOS at the Fermi energy**: 3.4 states/eV per cell
**SG**: No. 139

Structure (POSCAR):
```
CuTcPt2
1.0
-1.934 1.934 3.885
1.934 -1.934 3.885
1.934 1.934 -3.885
Cu Tc Pt
1 1 2
direct
0.000 0.000 0.000
0.500 0.500 0.000
0.250 0.750 0.500
0.750 0.250 0.500
```

2.
First-principles (GGA-PBE) data for a geometry-optimized CeNdPb6 structure, as listed in Alexandria.

Results
**E_form**: -2.9 eV/f.u.
**DOS at the Fermi energy**: 8.7 states/eV per cell
**SG**: No. 123

Structure (POSCAR):
```
CeNdPb6
1.0
4.925 0.000 0.000
0.000 4.925 0.000
0.000 0.000 9.845
Ce Nd Pb
1 1 6
direct
0.000 0.000 0.000
0.000 0.000 0.500
0.000 0.500 0.249
0.000 0.500 0.751
0.500 0.000 0.249
0.500 0.000 0.751
0.500 0.500 0.000
0.500 0.500 0.500
```